This record from the Alexandria database describes a geometry-optimized ErCu4P2 structure. The functional is PBE-GGA.

Summary:
The calculation puts the total moment at 0.000 μB per atom. The value obtained for the calculated formation energy is -12.45 kcal/mol of atoms. Its symmetry is P4_2/mnm (136). The density of states at the Fermi level comes out at 0.25 states/eV per atom.

Unit cell a=7.238 b=7.238 c=3.775 alpha=90.00 beta=90.00 gamma=90.00
Fractional coordinates of all 14 atoms:
Er 0.000 0.000 0.000
Er 0.500 0.500 0.500
Cu 0.084 0.334 0.500
Cu 0.166 0.584 0.000
Cu 0.334 0.084 0.500
Cu 0.416 0.834 0.000
Cu 0.584 0.166 0.000
Cu 0.666 0.916 0.500
Cu 0.834 0.416 0.000
Cu 0.916 0.666 0.500
P 0.212 0.788 0.500
P 0.288 0.288 0.000
P 0.712 0.712 0.000
P 0.788 0.212 0.500